Entry 1:
{"formula": "BeTePO2", "functional": "PBE", "state": "relaxed", "raw_formation_energy_ev_per_fu": -0.651, "magnetic_moment_mub_per_fu": 0.7, "crystal_system": "tetragonal", "lattice": [[-1.417, 0.452, 3.387], [2.245, -2.641, 1.291], [3.122, 3.091, 0.894]], "species": ["P", "Te", "O", "O", "Be"], "fractional_positions": [[0.000, 0.000, 0.500], [0.500, 0.500, 0.500], [0.000, 0.500, 0.000], [0.500, 0.000, 0.000], [0.000, 0.000, 0.000]]}

Entry 2:
{"formula": "TiBePO2", "functional": "PBE", "state": "relaxed", "raw_formation_energy_ev_per_fu": -4.997, "magnetic_moment_mub_per_fu": 0.0, "crystal_system": "tetragonal", "lattice": [[-3.164, 1.221, -1.446], [-1.559, -3.279, 0.642], [-1.570, 1.700, 4.870]], "species": ["P", "Be", "O", "O", "Ti"], "fractional_positions": [[0.000, 0.000, 0.500], [0.500, 0.500, 0.500], [0.000, 0.500, 0.000], [0.500, 0.000, 0.000], [0.000, 0.000, 0.000]]}

Entry 3:
{"formula": "TiBePO2", "functional": "PBE", "state": "relaxed", "raw_formation_energy_ev_per_fu": -4.024, "magnetic_moment_mub_per_fu": 0.0, "crystal_system": "tetragonal", "lattice": [[-2.584, 0.293, -2.240], [-2.017, -1.831, 2.087], [-1.385, 3.934, 2.113]], "species": ["P", "Be", "O", "O", "Ti"], "fractional_positions": [[0.000, 0.000, 0.500], [0.000, 0.000, 0.000], [0.000, 0.500, 0.000], [0.500, 0.000, 0.000], [0.500, 0.500, 0.500]]}

Entry 4:
{"formula": "BeTlPO2", "functional": "PBE", "state": "relaxed", "raw_formation_energy_ev_per_fu": 4.458, "magnetic_moment_mub_per_fu": 0.9, "crystal_system": "tetragonal", "lattice": [[4.030, 0.000, 0.000], [0.000, 4.030, 0.000], [0.000, 0.000, 5.730]], "species": ["P", "Tl", "O", "O", "Be"], "fractional_positions": [[0.000, 0.000, 0.500], [0.000, 0.000, 0.000], [0.000, 0.500, 0.000], [0.500, 0.000, 0.000], [0.500, 0.500, 0.500]]}

Entry 5:
{"formula": "BeTlPO2", "functional": "PBE", "state": "relaxed", "raw_formation_energy_ev_per_fu": -0.782, "magnetic_moment_mub_per_fu": 0.0, "crystal_system": "tetragonal", "lattice": [[-1.547, 3.071, -1.212], [-3.182, -1.744, -0.356], [-1.185, 1.221, 4.608]], "species": ["P", "Tl", "O", "O", "Be"], "fractional_positions": [[0.000, 0.000, 0.500], [0.500, 0.500, 0.500], [0.000, 0.500, 0.000], [0.500, 0.000, 0.000], [0.000, 0.000, 0.000]]}